[1]
Below is a geometry-optimized TlCrIr2 structure, with properties calculated at the GGA-PBE level.

E_form = 2.383 eV per formula unit
Magnetic moment = 2.66 μB per formula unit
Offset from the most stable computed form = 398 meV per atom
Uncorrected energy = -27.328 eV/f.u.

Lattice parameters (Å, degrees): 4.533 4.533 4.533 60.00 60.00 60.00
Sites, in units of the cell vectors:
Ir1 0.000 0.000 0.000
Ir2 0.250 0.250 0.250
Cr1 0.500 0.500 0.500
Tl1 0.750 0.750 0.750

---

[2]
Below is a geometry-optimized Tl2CrIr structure, with properties calculated at the GGA-PBE level.

E_form = 2.586 eV per formula unit
Magnetic moment = 3.67 μB per formula unit
Offset from the most stable computed form = 302 meV per atom
Uncorrected energy = -20.631 eV/f.u.

Lattice parameters (Å, degrees): 4.684 3.198 5.349 88.15 90.00 90.00
Sites, in units of the cell vectors:
Tl1 0.000 0.515 0.502
Tl2 0.000 0.985 0.998
Cr1 0.500 0.250 0.250
Ir1 0.500 0.750 0.750

---

[3]
Below is a geometry-optimized TlCrIr2 structure, with properties calculated at the GGA-PBE level.

E_form = 1.580 eV per formula unit
Magnetic moment = 2.22 μB per formula unit
Offset from the most stable computed form = 197 meV per atom
Uncorrected energy = -28.132 eV/f.u.

Lattice parameters (Å, degrees): 4.845 4.845 4.935 79.55 79.55 35.13
Sites, in units of the cell vectors:
Ir1 0.997 0.997 0.021
Ir2 0.743 0.743 0.773
Tl1 0.500 0.500 0.510
Cr1 0.260 0.260 0.196

---

[4]
Below is a geometry-optimized TlCrIr2 structure, with properties calculated at the GGA-PBE level.

E_form = 1.648 eV per formula unit
Magnetic moment = 2.55 μB per formula unit
Offset from the most stable computed form = 214 meV per atom
Uncorrected energy = -28.063 eV/f.u.

Lattice parameters (Å, degrees): 2.892 2.892 7.915 90.00 90.00 90.01
Sites, in units of the cell vectors:
Ir1 0.000 0.000 0.992
Ir2 0.500 0.500 0.228
Cr1 0.500 0.500 0.785
Tl1 0.000 0.000 0.496

---

[5]
Below is a geometry-optimized TlCr2Ir2 structure, with properties calculated at the GGA-PBE level.

E_form = 1.076 eV per formula unit
Magnetic moment = 3.54 μB per formula unit
Uncorrected energy = -38.259 eV/f.u.

Lattice parameters (Å, degrees): 7.480 7.480 2.821 90.00 90.00 90.00
Sites, in units of the cell vectors:
Ir1 0.371 0.871 0.000
Ir2 0.129 0.371 0.000
Ir3 0.629 0.129 0.000
Ir4 0.871 0.629 0.000
Cr1 0.338 0.162 0.500
Cr2 0.662 0.838 0.500
Cr3 0.838 0.338 0.500
Cr4 0.162 0.662 0.500
Tl1 0.000 0.000 0.000
Tl2 0.500 0.500 0.000

---

[6]
Below is a geometry-optimized TlCrIr2 structure, with properties calculated at the GGA-PBE level.

E_form = 2.489 eV per formula unit
Magnetic moment = 1.14 μB per formula unit
Offset from the most stable computed form = 424 meV per atom
Uncorrected energy = -27.223 eV/f.u.

Lattice parameters (Å, degrees): 7.206 7.206 5.772 51.38 51.38 90.00
Sites, in units of the cell vectors:
Ir1 0.181 0.625 0.250
Ir2 0.375 0.431 0.750
Ir3 0.569 0.125 0.250
Ir4 0.875 0.819 0.750
Tl1 0.750 0.250 0.500
Tl2 0.000 0.000 0.000
Cr1 0.250 0.750 0.500
Cr2 0.500 0.500 0.000

---

[7]
Below is a geometry-optimized Tl2CrIr structure, with properties calculated at the GGA-PBE level.

E_form = 2.464 eV per formula unit
Magnetic moment = 4.02 μB per formula unit
Offset from the most stable computed form = 272 meV per atom
Uncorrected energy = -20.753 eV/f.u.

Lattice parameters (Å, degrees): 3.187 3.187 7.706 90.00 90.00 90.00
Sites, in units of the cell vectors:
Tl1 0.000 0.000 0.988
Tl2 0.000 0.000 0.512
Ir1 0.500 0.500 0.750
Cr1 0.500 0.500 0.250

---

[8]
Below is a geometry-optimized TlCrIr2 structure, with properties calculated at the GGA-PBE level.

E_form = 1.398 eV per formula unit
Magnetic moment = 2.62 μB per formula unit
Offset from the most stable computed form = 151 meV per atom
Uncorrected energy = -28.314 eV/f.u.

Lattice parameters (Å, degrees): 4.741 4.741 5.046 79.36 79.36 35.72
Sites, in units of the cell vectors:
Cr1 0.250 0.250 0.250
Ir1 0.512 0.512 0.468
Ir2 0.988 0.988 0.032
Tl1 0.750 0.750 0.750

---

[9]
Below is a geometry-optimized Tl2CrIr structure, with properties calculated at the GGA-PBE level.

E_form = 1.376 eV per formula unit
Magnetic moment = 2.74 μB per formula unit
Offset from the most stable computed form = 0 meV per atom
Uncorrected energy = -21.841 eV/f.u.

Lattice parameters (Å, degrees): 3.084 3.085 8.899 90.00 90.00 90.00
Sites, in units of the cell vectors:
Cr1 0.000 0.000 0.553
Tl1 0.500 0.500 0.298
Tl2 0.000 0.000 0.953
Ir1 0.500 0.500 0.697

---

[10]
Below is a geometry-optimized Tm2CrIr3 structure, with properties calculated at the GGA-PBE level.

E_form = -4.378 eV per formula unit
Magnetic moment = 1.93 μB per formula unit
Uncorrected energy = -49.527 eV/f.u.

Lattice parameters (Å, degrees): 5.439 5.439 8.184 90.00 90.00 120.00
Sites, in units of the cell vectors:
Tm1 0.667 0.333 0.437
Tm2 0.333 0.667 0.563
Tm3 0.667 0.333 0.063
Tm4 0.333 0.667 0.937
Cr1 0.000 0.000 0.500
Cr2 0.000 0.000 0.000
Ir1 0.831 0.662 0.750
Ir2 0.169 0.338 0.250
Ir3 0.169 0.831 0.250
Ir4 0.831 0.169 0.750
Ir5 0.338 0.169 0.750
Ir6 0.662 0.831 0.250

---

[11]
Below is a geometry-optimized UCrIr structure, with properties calculated at the GGA-PBE level.

E_form = -0.108 eV per formula unit
Magnetic moment = 0.00 μB per formula unit
Uncorrected energy = -29.880 eV/f.u.

Lattice parameters (Å, degrees): 5.093 5.114 4.918 75.06 58.82 60.14
Sites, in units of the cell vectors:
Ir1 0.335 0.000 0.329
Ir2 0.665 0.000 0.671
Cr1 0.250 0.500 0.500
Cr2 0.750 0.500 0.500
U1 0.147 0.706 0.000
U2 0.853 0.294 0.000

---

[12]
Below is a geometry-optimized UCrIr6 structure, with properties calculated at the GGA-PBE level.

E_form = -2.762 eV per formula unit
Magnetic moment = 2.00 μB per formula unit
Uncorrected energy = -76.840 eV/f.u.

Lattice parameters (Å, degrees): 3.937 5.599 5.599 89.99 90.00 90.00
Sites, in units of the cell vectors:
Ir1 0.500 0.000 0.500
Ir2 0.000 0.742 0.742
Ir3 0.000 0.742 0.258
Ir4 0.000 0.258 0.258
Ir5 0.000 0.258 0.742
Ir6 0.500 0.500 0.000
U1 0.500 0.000 0.000
Cr1 0.500 0.500 0.500

---

| no. | density of states at the Fermi level (states/eV/cell) | V (Å³/f.u.) |
| --- | --- | --- |
| 1 | 7.83 | 65.86 |
| 2 | 3.32 | 80.09 |
| 3 | 3.94 | 65.44 |
| 4 | 4.12 | 66.18 |
| 5 | 8.16 | 78.92 |
| 6 | 7.74 | 70.42 |
| 7 | 1.84 | 78.29 |
| 8 | 4.06 | 64.95 |
| 9 | 3.09 | 84.69 |
| 10 | 9.12 | 104.82 |
| 11 | 10.34 | 47.52 |
| 12 | 7.80 | 123.43 |